No. 1
# KGeOsS2

A geometry-optimized KGeOsS2 structure (GGA-PBE, Alexandria).

Output
E_form (uncorrected) (eV/f.u.): 0.643
Fermi-level density of states (states/eV/cell): 6.1

abc: 4.9275 4.9275 4.7449
angles: 90.00 90.00 90.00
Last column: nearest neighbours and their distance in Å.
Sites, in units of the cell vectors:
Os 0.0000 0.0000 0.0000  2 Ge 2.37, 4 S 2.46
S 0.5000 0.0000 0.0000  2 Os 2.46
S 0.0000 0.5000 0.0000  2 Os 2.46
Ge 0.0000 0.0000 0.5000  2 Os 2.37
K 0.5000 0.5000 0.5000  8 S 3.42, 4 Ge 3.48



No. 2
# SmAgBi2

A geometry-optimized SmAgBi2 structure (GGA-PBE, Alexandria).

Output
Formation energy from the elements (kJ per mole of atoms): -40
Fermi-level density of states (states/eV/cell): 2.5

abc: 4.4197 4.9680 4.9680
angles: 90.00 90.00 90.00
Last column: nearest neighbours and their distance in Å.
Sites, in units of the cell vectors:
Bi 0.0000 0.0000 0.5000  4 Sm 3.32, 4 Ag 3.32, 4 Bi 3.51
Bi 0.0000 0.5000 0.0000  4 Sm 3.32, 4 Ag 3.32, 4 Bi 3.51
Sm 0.5000 0.5000 0.5000  8 Bi 3.32, 4 Ag 3.51
Ag 0.5000 0.0000 0.0000  8 Bi 3.32, 4 Sm 3.51



No. 3
# Mn3W

A geometry-optimized Mn3W structure (GGA-PBE, Alexandria).

Output
Formation energy from the elements (kJ per mole of atoms): 28
Fermi-level density of states (states/eV/cell): 5.5

abc: 2.6405 8.6431 2.6405
angles: 98.79 60.00 98.79
Last column: nearest neighbours and their distance in Å.
Sites, in units of the cell vectors:
Mn 0.5067 0.5202 0.5067  9 Mn 2.48-2.64, 3 W 2.76
Mn 0.9933 0.9798 0.9933  9 Mn 2.48-2.64, 3 W 2.76
Mn 0.2500 0.7500 0.2500  12 Mn 2.48-2.64
W 0.7500 0.2500 0.7500  6 W 2.64, 6 Mn 2.76



No. 4
# KPa2AuS8

A geometry-optimized KPa2AuS8 structure (GGA-PBE, Alexandria).

Output
E_form (uncorrected) (eV/f.u.): -9.515
Fermi-level density of states (states/eV/cell): 2.4

abc: 6.3139 6.3139 8.5089
angles: 90.00 90.00 120.00
Last column: nearest neighbours and their distance in Å.
Sites, in units of the cell vectors:
S 0.6379 0.8190 0.1589  1 Au 2.40
Pa 0.6667 0.3333 0.1137  1 S 2.40
Pa 0.3333 0.6667 0.8863  1 S 2.40
S 0.8190 0.1810 0.8411  1 Au 2.40
S 0.3333 0.6667 0.6041  1 Pa 2.40
Au 0.0000 0.0000 0.0000  6 S 2.40
S 0.3621 0.1810 0.8411  1 Au 2.40
S 0.6667 0.3333 0.3959  1 Pa 2.40
S 0.1810 0.3621 0.1589  1 Au 2.40
S 0.1810 0.8190 0.1589  1 Au 2.40
S 0.8190 0.6379 0.8411  1 Au 2.40
K 0.0000 0.0000 0.5000  12 S 3.51-3.75



No. 5
# Tm4IrS3

A geometry-optimized Tm4IrS3 structure (GGA-PBE, Alexandria).

Output
E_form (uncorrected) (eV/f.u.): -12.996
Fermi-level density of states (states/eV/cell): 5.5

abc: 3.8514 6.8528 6.8528
angles: 108.72 90.00 90.00
Last column: nearest neighbours and their distance in Å.
Sites, in units of the cell vectors:
Tm 0.0000 0.7609 0.7609  2 Ir 2.71, 4 S 2.79-2.84
Tm 0.5000 0.2441 0.7559  1 Ir 2.72, 5 S 2.77-2.85
S 0.0000 0.0000 0.5000  6 Tm 2.77-2.79
Tm 0.5000 0.7559 0.2441  1 Ir 2.72, 5 S 2.77-2.85
Ir 0.5000 0.0000 0.0000  6 Tm 2.71-2.72
Tm 0.0000 0.2391 0.2391  2 Ir 2.71, 4 S 2.79-2.84
S 0.5000 0.5000 0.5000  6 Tm 2.84-2.85
S 0.0000 0.5000 0.0000  6 Tm 2.77-2.79



No. 6
# RbPt3Se

A geometry-optimized RbPt3Se structure (GGA-PBE, Alexandria).

Output
E_form (uncorrected) (eV/f.u.): 1.497
Offset from the most stable computed form (eV per formula unit): 0.000
Fermi-level density of states (states/eV/cell): 5.5

abc: 4.8814 4.8814 4.8814
angles: 90.00 90.00 90.00
Last column: nearest neighbours and their distance in Å.
Sites, in units of the cell vectors:
Rb 0.5000 0.5000 0.5000  12 Pt 3.45
Pt 0.5000 0.0000 0.0000  2 Se 2.44
Pt 0.0000 0.5000 0.0000  2 Se 2.44
Pt 0.0000 0.0000 0.5000  2 Se 2.44
Se 0.0000 0.0000 0.0000  6 Pt 2.44



No. 7
# HoTiSn2

A geometry-optimized HoTiSn2 structure (GGA-PBE, Alexandria).

Output
Formation energy from the elements (kJ per mole of atoms): -32
Offset from the most stable computed form (eV per formula unit): 0.126
Fermi-level density of states (states/eV/cell): 4.0

abc: 3.7463 3.7463 6.6002
angles: 90.00 90.00 90.00
Last column: nearest neighbours and their distance in Å.
Sites, in units of the cell vectors:
Sn 0.0000 0.0000 0.2195  1 Sn 2.90, 4 Ti 3.02, 4 Ho 3.23
Sn 0.0000 0.0000 0.7805  1 Sn 2.90, 4 Ti 3.02, 4 Ho 3.23
Ho 0.5000 0.5000 0.5000  8 Sn 3.23, 2 Ti 3.30
Ti 0.5000 0.5000 0.0000  8 Sn 3.02, 2 Ho 3.30



No. 8
# ErThRh

A geometry-optimized ErThRh structure (GGA-PBE, Alexandria).

Output
Formation energy from the elements (kJ per mole of atoms): -57
Offset from the most stable computed form (eV per formula unit): 0.000
Fermi-level density of states (states/eV/cell): 5.2

abc: 3.9660 5.8678 8.5494
angles: 56.87 76.60 89.98
Last column: nearest neighbours and their distance in Å.
Sites, in units of the cell vectors:
Th 0.3476 0.9994 0.3046  3 Rh 2.76-2.99
Rh 0.7275 0.6415 0.5450  3 Th 2.76-2.99, 2 Er 2.86, 2 Rh 2.94
Th 0.6524 0.0006 0.6954  3 Rh 2.76-2.99
Rh 0.2725 0.3585 0.4550  3 Th 2.76-2.99, 2 Er 2.86, 2 Rh 2.94
Er 0.9215 0.6209 0.1569  2 Rh 2.86
Er 0.0785 0.3791 0.8431  2 Rh 2.86



No. 9
# ZnAsAu2

A geometry-optimized ZnAsAu2 structure (GGA-PBE, Alexandria).

Output
Formation energy from the elements (kJ per mole of atoms): 9
Offset from the most stable computed form (eV per formula unit): 0.319
Fermi-level density of states (states/eV/cell): 1.3

abc: 4.7807 5.6928 3.0985
angles: 73.95 90.58 115.00
Last column: nearest neighbours and their distance in Å.
Sites, in units of the cell vectors:
Zn 0.0000 0.5000 0.5000  4 As 2.84-2.86, 4 Au 2.84, 2 Zn 3.10
Au 0.5000 0.0000 0.5000  6 Au 2.84-3.10, 2 As 2.84, 2 Zn 2.84
As 0.5000 0.5000 0.0000  4 Zn 2.84-2.86, 4 Au 2.84, 2 As 3.10
Au 0.0000 0.0000 0.0000  6 Au 2.84-3.10, 2 Zn 2.84, 2 As 2.84



No. 10
# ReTc2Pt

A geometry-optimized ReTc2Pt structure (GGA-PBE, Alexandria).

Output
Formation energy from the elements (kJ per mole of atoms): -7
Offset from the most stable computed form (eV per formula unit): 0.113
Fermi-level density of states (states/eV/cell): 3.8

abc: 2.7346 3.9508 5.5327
angles: 90.00 90.00 90.00
Last column: nearest neighbours and their distance in Å.
Sites, in units of the cell vectors:
Tc 0.0000 0.0000 0.5194  3 Tc 2.55-2.73, 4 Re 2.72, 4 Pt 2.83
Re 0.5000 0.5000 0.7500  8 Tc 2.72, 2 Re 2.73, 2 Pt 2.77
Pt 0.5000 0.5000 0.2500  2 Pt 2.73, 2 Re 2.77, 8 Tc 2.83
Tc 0.0000 0.0000 0.9806  3 Tc 2.55-2.73, 4 Re 2.72, 4 Pt 2.83



No. 11
# Li2Zn2I7

A geometry-optimized Li2Zn2I7 structure (GGA-PBE, Alexandria).

Output
E_form (uncorrected) (eV/f.u.): -6.962
Offset from the most stable computed form (eV per formula unit): 0.000
Fermi-level density of states (states/eV/cell): 6.9

abc: 8.8052 7.9414 10.6345
angles: 102.58 113.13 56.33
Last column: nearest neighbours and their distance in Å.
Sites, in units of the cell vectors:
Li 0.6440 0.7119 0.5000  4 I 2.89
Li 0.3560 0.2881 0.5000  4 I 2.89
Zn 0.2204 0.0000 0.2653  4 I 2.60-2.72
I 0.3309 0.6448 0.3365  1 Zn 2.60, 1 Li 2.89
I 0.9757 0.3552 0.3365  1 Zn 2.60, 1 Li 2.89
I 0.0243 0.6448 0.6635  1 Zn 2.60, 1 Li 2.89
I 0.4665 0.0000 0.6922  1 Zn 2.61, 2 Li 2.89
Zn 0.7796 0.0000 0.7347  4 I 2.60-2.72
I 0.0000 0.0000 0.0000  2 Zn 2.72
I 0.5335 0.0000 0.3078  1 Zn 2.61, 2 Li 2.89
I 0.6691 0.3552 0.6635  1 Zn 2.60, 1 Li 2.89



No. 12
# Tb4YHo2Sc

A geometry-optimized Tb4YHo2Sc structure (GGA-PBE, Alexandria).

Output
Formation energy from the elements (kJ per mole of atoms): 3
Fermi-level density of states (states/eV/cell): 11.8

abc: 4.9824 4.9815 11.0795
angles: 63.30 90.00 90.00
Last column: nearest neighbours and their distance in Å.
Sites, in units of the cell vectors:
Sc 0.0000 0.5000 0.5000  8 Tb 3.47, 4 Ho 3.52
Y 0.5000 0.5000 0.0000  4 Ho 3.52, 8 Tb 3.55
Ho 0.0000 0.0000 0.0000  4 Y 3.52, 8 Tb 3.55
Tb 0.0000 0.2439 0.2560  2 Sc 3.47, 4 Ho 3.47-3.55, 4 Tb 3.52, 2 Y 3.55
Tb 0.5000 0.2559 0.7443  4 Ho 3.47-3.55, 2 Sc 3.47, 4 Tb 3.52, 2 Y 3.55
Ho 0.5000 0.0000 0.5000  8 Tb 3.47, 4 Sc 3.52
Tb 0.5000 0.7441 0.2557  4 Ho 3.47-3.55, 2 Sc 3.47, 4 Tb 3.52, 2 Y 3.55
Tb 0.0000 0.7561 0.7440  2 Sc 3.47, 4 Ho 3.47-3.55, 4 Tb 3.52, 2 Y 3.55